No. 1
A plane-wave DFT calculation with PBE was carried out for Cs14AgO after structural relaxation.

a b c (Å): 14.588 10.138 10.138
angles (deg): 75.34 90.00 90.00
Element x y z (fractional)
Cs 0.000 0.000 0.000
Cs 0.000 0.457 0.457
Cs 0.000 0.528 0.934
Cs 0.000 0.934 0.528
Cs 0.248 0.211 0.211
Cs 0.322 0.892 0.892
Cs 0.362 0.409 0.723
Cs 0.362 0.723 0.409
Cs 0.500 0.194 0.500
Cs 0.500 0.500 0.194
Cs 0.638 0.409 0.723
Cs 0.638 0.723 0.409
Cs 0.678 0.892 0.892
Cs 0.752 0.211 0.211
Ag 0.500 0.115 0.115
O 0.500 0.492 0.492

Calculated values
uncorrected formation energy: -185 kJ/mol of formula units
symmetry: Amm2 (38)
total magnetic moment: 0.0 μB per formula unit
DOS at the Fermi energy: 0.91 states/eV/atom

=====

No. 2
A plane-wave DFT calculation with PBE was carried out for PrNd3Er6Th2 after structural relaxation.

a b c (Å): 6.226 6.226 11.718
angles (deg): 95.10 95.10 119.99
Element x y z (fractional)
Pr 0.000 0.000 0.000
Nd 0.166 0.834 0.500
Nd 0.500 0.500 0.500
Nd 0.834 0.166 0.500
Er 0.082 0.421 0.246
Er 0.256 0.256 0.754
Er 0.421 0.082 0.246
Er 0.579 0.918 0.754
Er 0.744 0.744 0.246
Er 0.918 0.579 0.754
Th 0.333 0.667 0.000
Th 0.667 0.333 0.000

Calculated values
symmetry: C2/m (12)
total magnetic moment: 0.0 μB per formula unit
DOS at the Fermi energy: 1.29 states/eV/atom
energy relative to the elements: 0.026 eV/atom